## TaNiN2O (PBE with a Hubbard U)

Data for TaNiN2O after structural relaxation.

- total moment (μB per atom) = 0.122
- total energy (eV per atom) = -6.75

a = 3.6702 Å, b = 3.6702 Å, c = 3.5346 Å
α = 90.00°, β = 90.00°, γ = 90.00°
With the nearest neighbours (Å) after each atom.
Space group P4/mmm (No. 123)
Unique sites:
Ta 0.0000 0.0000 0.0000 (multiplicity 1)  8 N 2.55, 4 O 2.60
Ni 0.5000 0.5000 0.5000 (multiplicity 1)  2 O 1.77, 4 N 1.84
N 0.0000 0.5000 0.5000 (multiplicity 2)  2 Ni 1.84
O 0.5000 0.5000 0.0000 (multiplicity 1)  2 Ni 1.77